1.
Rb3UCd2Se6 (PBE, relaxed); formation energy without anion corrections = -0.975 eV per atom
1.0
3.6211 -6.3044 0.0000
3.6211 6.3044 0.0000
-2.3917 0.0000 7.9956
Rb U Cd Se
3 1 2 6
Direct
0.0000 0.0000 0.0000
0.3282 0.6718 0.0000
0.6718 0.3282 0.0000
0.5000 0.5000 0.5000
0.1656 0.8344 0.5000
0.8344 0.1656 0.5000
0.1130 0.4345 0.3066
0.2453 0.2453 0.6971
0.4345 0.1130 0.3066
0.5655 0.8870 0.6934
0.7547 0.7547 0.3029
0.8870 0.5655 0.6934

=====

2.
RbLaHgB2 (PBE, relaxed); energy of formation = 11.2 eV per formula unit
1.0
4.8843 0.0000 0.0000
0.0000 4.8843 0.0000
0.0000 0.0000 5.8058
Rb La Hg B
1 1 1 2
Direct
0.0000 0.0000 0.0000
0.0000 0.0000 0.5000
0.5000 0.5000 0.5000
0.0000 0.5000 0.0000
0.5000 0.0000 0.0000

=====

The following N(E_F) values (in states/eV per cell) correspond, in order, to the records above: 1.0; 3.5.